(a)
DFT (PBE) results for an optimized crystal structure of Ca2TcCl.

a = 3.583 Å, b = 3.583 Å, c = 8.701 Å
α = 100.81°, β = 100.81°, γ = 57.81°
Atoms (fractional coordinates):
Ca 0.245 0.245 0.254
Ca 0.755 0.755 0.746
Tc 0.000 0.000 0.500
Cl 0.500 0.500 0.000

Values from the calculation:
SG: C2/m (12)
Volume in A^3/atom: 23.09

(b)
DFT (PBE) results for an optimized crystal structure of Ca2TcCl.

a = 5.784 Å, b = 5.784 Å, c = 5.225 Å
α = 90.02°, β = 90.02°, γ = 31.61°
Atoms (fractional coordinates):
Ca 0.000 0.000 0.000
Ca 0.743 0.743 0.500
Tc 0.258 0.258 0.000
Cl 0.482 0.482 0.499

Values from the calculation:
SG: Cm (8)
Volume in A^3/atom: 22.90

(c)
DFT (PBE) results for an optimized crystal structure of Ca2TcCl.

a = 6.315 Å, b = 6.315 Å, c = 6.315 Å
α = 150.64°, β = 132.85°, γ = 56.52°
Atoms (fractional coordinates):
Ca 0.000 0.000 0.000
Ca 0.697 0.197 0.500
Tc 0.442 0.442 0.000
Cl 0.258 0.758 0.500

Values from the calculation:
SG: Imm2 (44)
Volume in A^3/atom: 22.48

(d)
DFT (PBE) results for an optimized crystal structure of Ca2TcCl.

a = 3.358 Å, b = 3.358 Å, c = 8.133 Å
α = 90.00°, β = 90.00°, γ = 90.17°
Atoms (fractional coordinates):
Ca 0.000 0.000 0.238
Ca 0.000 0.000 0.762
Tc 0.500 0.500 0.000
Cl 0.500 0.500 0.500

Values from the calculation:
SG: Cmmm (65)
Volume in A^3/atom: 22.93

Energy comparison, zero being the most stable, in meV per atom: (a) 45; (b) 234; (c) 351; (d) 0.

(a)
DFT (PBE) results for an optimized crystal structure of CaTc3Cl.

a = 4.470 Å, b = 4.470 Å, c = 4.470 Å
α = 90.00°, β = 90.00°, γ = 90.00°
Atoms (fractional coordinates):
Ca 0.000 0.000 0.000
Tc 0.000 0.500 0.500
Tc 0.500 0.000 0.500
Tc 0.500 0.500 0.000
Cl 0.500 0.500 0.500

Values from the calculation:
SG: Pm-3m (221)
Volume in A^3/atom: 17.86

(b)
DFT (PBE) results for an optimized crystal structure of CaTc3Cl.

a = 5.182 Å, b = 5.182 Å, c = 5.182 Å
α = 90.00°, β = 90.00°, γ = 90.00°
Atoms (fractional coordinates):
Ca 0.000 0.000 0.000
Tc 0.000 0.000 0.500
Tc 0.000 0.500 0.000
Tc 0.500 0.000 0.000
Cl 0.500 0.500 0.500

Values from the calculation:
SG: Pm-3m (221)
Volume in A^3/atom: 27.83

Energy comparison, zero being the most stable, in meV per atom: (a) 0; (b) 1788.

(a)
DFT (PBE) results for an optimized crystal structure of Ca2TeCl.

a = 10.033 Å, b = 10.033 Å, c = 10.033 Å
α = 24.63°, β = 24.63°, γ = 24.63°
Atoms (fractional coordinates):
Ca 0.000 0.000 0.000
Ca 0.198 0.198 0.198
Te 0.599 0.599 0.599
Cl 0.378 0.378 0.378

Values from the calculation:
SG: R3m (160)
Volume in A^3/atom: 38.55

(b)
DFT (PBE) results for an optimized crystal structure of Ca2TeCl.

a = 8.367 Å, b = 8.367 Å, c = 8.367 Å
α = 133.21°, β = 133.21°, γ = 68.32°
Atoms (fractional coordinates):
Ca 0.099 0.625 0.974
Ca 0.375 0.349 0.474
Ca 0.651 0.125 0.026
Ca 0.875 0.901 0.526
Te 0.250 0.750 0.500
Te 0.500 0.500 0.000
Cl 0.000 0.000 0.000
Cl 0.750 0.250 0.500

Values from the calculation:
SG: I-42d (122)
Volume in A^3/atom: 38.20

Energy comparison, zero being the most stable, in meV per atom: (a) 0; (b) 123.

(a)
DFT (PBE) results for an optimized crystal structure of Ca2TeCl.

a = 5.329 Å, b = 5.329 Å, c = 5.329 Å
α = 60.00°, β = 60.00°, γ = 60.00°
Atoms (fractional coordinates):
Ca 0.250 0.250 0.250
Ca 0.750 0.750 0.750
Te 0.000 0.000 0.000
Cl 0.500 0.500 0.500

Values from the calculation:
SG: Fm-3m (225)
Volume in A^3/atom: 26.75

(b)
DFT (PBE) results for an optimized crystal structure of Ca2TeCl.

a = 7.305 Å, b = 7.305 Å, c = 7.305 Å
α = 35.13°, β = 35.13°, γ = 35.13°
Atoms (fractional coordinates):
Ca 0.246 0.246 0.246
Ca 0.754 0.754 0.754
Te 0.000 0.000 0.000
Cl 0.500 0.500 0.500

Values from the calculation:
SG: R-3m (166)
Volume in A^3/atom: 28.82

(c)
DFT (PBE) results for an optimized crystal structure of Ca2TeCl.

a = 4.356 Å, b = 4.356 Å, c = 6.109 Å
α = 90.00°, β = 90.00°, γ = 90.00°
Atoms (fractional coordinates):
Ca 0.000 0.000 0.000
Ca 0.500 0.500 0.500
Te 0.000 0.000 0.500
Cl 0.500 0.500 0.000

Values from the calculation:
SG: P4/mmm (123)
Volume in A^3/atom: 28.98

Energy comparison, zero being the most stable, in meV per atom: (a) 152; (b) 0; (c) 11.